[1]
A geometry-optimized VFeNiRu structure. Source: Alexandria via LeMat-Bulk, functional PBE-GGA.

Cell: 5.8588 5.8588 5.8588 Å, 90.00 90.00 90.00°
With the nearest neighbours (Å) after each atom.
Space group F-43m (No. 216)
Symmetry-distinct sites (fractional):
V 0.0000 0.0000 0.0000 (multiplicity 4)  4 Ru 2.54, 4 Fe 2.54
Fe 0.2500 0.2500 0.7500 (multiplicity 4)  4 Ni 2.54, 4 V 2.54
Ni 0.0000 0.0000 0.5000 (multiplicity 4)  4 Fe 2.54, 4 Ru 2.54
Ru 0.2500 0.2500 0.2500 (multiplicity 4)  4 Ni 2.54, 4 V 2.54

## Properties
Its density of states at the Fermi level is 1.692 states/eV/atom. The value obtained for the energy above the most stable polymorph in this dataset is 153 meV per atom. The calculated volume comes out at 201 Å³/cell. For the spin magnetization, the calculation gives 11.3 Bohr magnetons per cell. The formation energy comes out at 0.00 eV per atom.



[2]
A geometry-optimized VFeNiRu structure. Source: Alexandria via LeMat-Bulk, functional PBE-GGA.

Cell: 3.6178 3.6302 3.7490 Å, 90.00 90.00 90.00°
With the nearest neighbours (Å) after each atom.
Space group Pmmm (No. 47)
Symmetry-distinct sites (fractional):
V 0.0000 0.0000 0.0000 (multiplicity 1)  4 Ru 2.56, 4 Ni 2.60, 4 Fe 2.61
Fe 0.0000 0.5000 0.5000 (multiplicity 1)  4 Ni 2.56, 4 Ru 2.60, 4 V 2.61
Ni 0.5000 0.0000 0.5000 (multiplicity 1)  4 Fe 2.56, 4 V 2.60, 4 Ru 2.61
Ru 0.5000 0.5000 0.0000 (multiplicity 1)  4 V 2.56, 4 Fe 2.60, 4 Ni 2.61

## Properties
Its density of states at the Fermi level is 0.966 states/eV/atom. The value obtained for the energy above the most stable polymorph in this dataset is 0 meV per atom. The calculated volume comes out at 49 Å³/cell. For the spin magnetization, the calculation gives 1.8 Bohr magnetons per cell. The formation energy comes out at -0.16 eV per atom.



[3]
A geometry-optimized V5Fe2NiRu2 structure. Source: Alexandria via LeMat-Bulk, functional PBE-GGA.

Cell: 9.3438 9.3438 3.0072 Å, 90.00 90.00 90.00°
With the nearest neighbours (Å) after each atom.
Space group P4/mbm (No. 127)
Symmetry-distinct sites (fractional):
V 0.0000 0.5000 0.0000 (multiplicity 2)  4 Fe 2.30
V 0.0713 0.1966 0.0000 (multiplicity 8)  2 Fe 2.27, 2 Ni 2.47
Fe 0.1318 0.3682 0.5000 (multiplicity 4)  6 V 2.27-2.30
Ni 0.0000 0.0000 0.5000 (multiplicity 2)  8 V 2.47
Ru 0.1671 0.6671 0.5000 (multiplicity 4)  3 Fe 2.66-2.81, 10 V 2.67-2.97

## Properties
Its density of states at the Fermi level is 1.330 states/eV/atom. The calculated volume comes out at 263 Å³/cell. For the spin magnetization, the calculation gives 3.6 Bohr magnetons per cell. The formation energy comes out at 0.10 eV per atom.



> The lowest calculated volume belongs to which entry?

number 2